DFT (GGA-PBE) results for a relaxed Sm6NpS8 crystal.

electronic total energy = -6.8909 eV per atom

a b c (Å): 11.311 11.311 11.311
angles (deg): 90.00 90.00 90.00
Space group Fm-3m (No. 225)
Inequivalent atoms, fractional coordinates:
Sm: 0.000 0.250 0.250
Np: 0.000 0.000 0.000
S: 0.000 0.000 0.247
S: 0.250 0.250 0.250